The following is a DFT calculation (GGA+U) of MgFeF after structural relaxation.

Cell and atoms, written as POSCAR:
```
MgFeF
1.0
-6.386 4.009 2.853
-0.089 -1.778 2.298
7.882 3.304 2.863
Mg Fe F
4 4 4
direct
0.027 0.000 0.864
0.027 0.500 0.364
0.439 0.000 0.359
0.439 0.500 0.859
0.841 0.000 0.526
0.841 0.500 0.026
0.701 0.000 0.193
0.701 0.500 0.693
0.284 0.000 0.899
0.284 0.500 0.399
0.442 0.000 0.707
0.442 0.500 0.207
```

**Crystal system**: monoclinic
**N(E_F)**: 0.314 states/eV/atom
**Total DFT energy (no corrections)**: -12.3 eV per formula unit
**Size of the total moment**: 1.06 μB/atom
**Energy above the most stable polymorph in this dataset**: 0.163 eV/atom